Record 1
The following is a PBE calculation of a relaxed structure of Ba2PrGa4, from Alexandria via LeMat-Bulk.

The value obtained for the magnetic moment is 0.00 μB per atom. The calculation puts the total energy at -3.440 eV/atom.

It has space group Immm (No. 71), with a = 4.393 Å, b = 4.469 Å, c = 22.008 Å, α = 90.00°, β = 90.00° and γ = 90.00°. The distinct sites, in fractional coordinates, are Ba at (0.000, 0.000, 0.177), Pr at (0.000, 0.500, 0.500), Ga at (0.000, 0.000, 0.384) and Ga at (0.000, 0.500, 0.056).



Record 2
The following is a PBE calculation of a relaxed structure of Ba2NaCdN, from Alexandria via LeMat-Bulk.

The value obtained for the magnetic moment is 0.00 μB per atom. The calculation puts the total energy at -3.017 eV/atom.

It has space group P4/mmm (No. 123), with a = 5.661 Å, b = 5.661 Å, c = 4.960 Å, α = 90.00°, β = 90.00° and γ = 90.00°. The distinct sites, in fractional coordinates, are Ba at (0.000, 0.500, 0.000), Na at (0.000, 0.000, 0.500), Cd at (0.500, 0.500, 0.500) and N at (0.000, 0.000, 0.000).



Record 3
The following is a PBE calculation of a relaxed structure of LaAl2Os, from Alexandria via LeMat-Bulk.

The value obtained for the magnetic moment is 0.18 μB per atom. The calculation puts the total energy at -5.696 eV/atom.

It has space group R3m (No. 160, hexagonal axes), with a = 3.0378 Å, b = 3.0378 Å, c = 28.8120 Å, α = 90.00°, β = 90.00° and γ = 120.00°. The distinct sites, in fractional coordinates, are La at (0.0000, 0.0000, 0.0000), Al at (0.0000, 0.0000, 0.2326), Al at (0.0000, 0.0000, 0.4876) and Os at (0.0000, 0.0000, 0.7563).



Record 4
The following is a PBE calculation of a relaxed structure of V8B2C, from Alexandria via LeMat-Bulk.

The value obtained for the magnetic moment is 0.00 μB per atom. The calculation puts the total energy at -8.923 eV/atom.

It has space group C2/m (No. 12), with a = 15.825 Å, b = 3.140 Å, c = 5.297 Å, α = 90.00°, β = 108.11° and γ = 90.00°. The distinct sites, in fractional coordinates, are V at (0.044, 0.000, 0.308), V at (0.088, 0.500, 0.907), V at (0.177, 0.500, 0.478), V at (0.223, 0.000, 0.832), B at (0.173, 0.000, 0.184) and C at (0.000, 0.500, 0.500).



Record 5
The following is a PBE calculation of a relaxed structure of Ni4Ge2Pt, from Alexandria via LeMat-Bulk.

The value obtained for the magnetic moment is 0.00 μB per atom. The calculation puts the total energy at -5.670 eV/atom.

It has space group P4_2/mnm (No. 136), with a = 6.858 Å, b = 6.858 Å, c = 3.871 Å, α = 90.00°, β = 90.00° and γ = 90.00°. The distinct sites, in fractional coordinates, are Ni at (0.104, 0.359, 0.000), Ge at (0.213, 0.787, 0.000) and Pt at (0.000, 0.000, 0.500).